This record from Alexandria describes a relaxed CaPCCl2 crystal. The functional is GGA-PBE.

Values from the calculation:
Uncorrected formation energy ... 0.08 eV/atom
M_tot ... 0.00 μB/f.u.
Energy above the lowest structure with this stoichiometry ... 0.0 meV/atom
Space-group type ... No. 123

Cell lengths 5.4817, 5.4817, 3.4886 Å; angles 90.00, 90.00, 90.00 degrees
With the nearest neighbours (Å) after each atom.
Sites, in units of the cell vectors:
Ca1 0.5000 0.5000 0.5000  8 Cl 3.25, 2 Ca 3.49
C1 0.0000 0.0000 0.0000  2 P 1.74
Cl1 0.5000 0.0000 0.0000  2 C 2.74
P1 0.0000 0.0000 0.5000  2 C 1.74
Cl2 0.0000 0.5000 0.0000  2 C 2.74